8
Lattice="3.3652 0.0000 0.0000 0.0000 5.6196 0.0000 0.0000 0.0000 9.5787" Properties=species:S:1:pos:R:3 comment="PBE-GGA MnTl2Ag, optimized geometry" e_form_ev_per_atom=0.4176 de_polymorph_ev_per_atom=0.125 crystal_system=orthorhombic dos_ef_per_ev_atom=0.5687 spacegroup=Immm vol_a3_per_cell=181 density_g_cm3=10.5 pbc="T T T"
Mn 0.0000 0.0000 0.0000
Mn 1.6826 2.8098 4.7893
Tl 0.0000 2.8098 2.4385
Tl 0.0000 2.8098 7.1402
Tl 1.6826 0.0000 2.3508
Tl 1.6826 0.0000 7.2278
Ag 0.0000 0.0000 4.7893
Ag 1.6826 2.8098 0.0000

---

4
Lattice="3.5199 0.0000 0.0000 0.0000 4.7656 0.0000 -1.1111 0.0000 5.3718" Properties=species:S:1:pos:R:3 comment="PBE-GGA MnTl2Ag, optimized geometry" e_form_ev_per_atom=0.3475 de_polymorph_ev_per_atom=0.055 crystal_system=monoclinic dos_ef_per_ev_atom=0.5379 spacegroup=Pm vol_a3_per_cell=90 density_g_cm3=10.5 pbc="T T T"
Mn 0.0000 0.0000 0.0000
Tl 0.6511 0.0000 2.8680
Tl 1.8037 2.3828 0.7669
Ag 2.4219 2.3828 3.7041

---

8
Lattice="3.2162 0.0000 0.0000 0.0000 4.8064 0.0000 0.0000 0.0000 11.6060" Properties=species:S:1:pos:R:3 comment="PBE-GGA MnTl2Ag, optimized geometry" e_form_ev_per_atom=0.3230 de_polymorph_ev_per_atom=0.030 crystal_system=orthorhombic dos_ef_per_ev_atom=0.5013 spacegroup=Imm2 vol_a3_per_cell=179 density_g_cm3=10.6 pbc="T T T"
Mn 0.0000 0.0000 0.0000
Mn 1.6081 2.4032 5.8030
Tl 0.0000 0.0000 5.7997
Tl 0.0000 2.4032 8.3387
Tl 1.6081 0.0000 2.5357
Tl 1.6081 2.4032 11.6027
Ag 0.0000 2.4032 3.5205
Ag 1.6081 0.0000 9.3235

---

8
Lattice="9.3512 0.0000 0.0000 0.0000 3.2733 0.0000 -1.1826 0.0000 5.8677" Properties=species:S:1:pos:R:3 comment="PBE-GGA MnTl2Ag, optimized geometry" e_form_ev_per_atom=0.3904 de_polymorph_ev_per_atom=0.097 crystal_system=monoclinic dos_ef_per_ev_atom=0.6125 spacegroup=C2/m vol_a3_per_cell=180 density_g_cm3=10.6 pbc="T T T"
Mn 0.0000 0.0000 0.0000
Mn 4.6756 1.6367 0.0000
Tl 2.0367 1.6367 1.4436
Tl 1.4563 0.0000 4.4241
Tl 6.7123 0.0000 1.4436
Tl 6.1319 1.6367 4.4241
Ag -0.5913 1.6367 2.9339
Ag 4.0843 0.0000 2.9339